No. 1
The following is a PBE calculation of an optimized crystal structure of LaVTe2Se, from Alexandria.

As for the crystal system: tetragonal. The value obtained for the formation energy (no corrections) is 0.53 eV per atom.

The space group is P4/mmm (No. 123) and the conventional cell measures 6.2086, 6.2086 and 5.6952 Å, with angles of 90.00, 90.00 and 90.00 degrees. The inequivalent atoms are La at (0.0000, 0.0000, 0.0000), V at (0.5000, 0.5000, 0.5000), Te at (0.0000, 0.5000, 0.0000) and Se at (0.0000, 0.0000, 0.5000).



No. 2
The following is a PBE calculation of an optimized crystal structure of La2YTe2Se2, from Alexandria.

As for the crystal system: tetragonal. The value obtained for the formation energy (no corrections) is -1.52 eV per atom.

The space group is I4/mmm (No. 139) and the conventional cell measures 5.3228, 5.3228 and 16.2440 Å, with angles of 90.00, 90.00 and 90.00 degrees. The inequivalent atoms are La at (0.0000, 0.0000, 0.1189), Y at (0.0000, 0.0000, 0.5000), Te at (0.0000, 0.0000, 0.3148) and Se at (0.0000, 0.5000, 0.0000).



No. 3
The following is a PBE calculation of an optimized crystal structure of LaTh4Se5, from Alexandria.

As for the crystal system: monoclinic. The value obtained for the formation energy (no corrections) is -1.63 eV per atom.

The space group is C2/m (No. 12) and the conventional cell measures 13.9212, 4.2357 and 10.3666 Å, with angles of 90.00, 119.34 and 90.00 degrees. The inequivalent atoms are La at (0.0000, 0.0000, 0.0000), Th at (0.0981, 0.5000, 0.4000), Th at (0.2005, 0.0000, 0.7956), Se at (0.0000, 0.0000, 0.5000), Se at (0.1036, 0.5000, 0.8997) and Se at (0.1996, 0.0000, 0.3036).



No. 4
The following is a PBE calculation of an optimized crystal structure of La4Th3Se8, from Alexandria.

As for the crystal system: trigonal. The value obtained for the formation energy (no corrections) is -1.56 eV per atom.

The space group is R-3m (No. 166, hexagonal axes) and the conventional cell measures 8.0380, 8.0380 and 24.8816 Å, with angles of 90.00, 90.00 and 120.00 degrees. The inequivalent atoms are La at (0.0000, 0.0000, 0.0000), La at (0.0000, 0.0000, 0.1476), La at (0.0000, 0.0000, 0.5000), Th at (0.0000, 0.5000, 0.0000), Se at (0.0000, 0.0000, 0.2610) and Se at (0.0088, 0.5044, 0.2527).